(1)
The following is a GGA-PBE calculation of TcPAu after structural relaxation, from Alexandria.

```
TcPAu
1.0
1.976 -3.423 0.000
1.976 3.423 0.000
0.000 0.000 3.560
Tc P Au
1 1 1
Cartesian
1.976 1.141 1.873
1.976 -1.141 1.633
0.000 0.000 0.055
```

Energy above the most stable polymorph in this dataset   0.000 eV/atom

---

(2)
The following is a GGA-PBE calculation of TcPAu after structural relaxation, from Alexandria.

```
TcPAu
1.0
-0.027 2.798 2.959
0.469 3.939 -0.919
-3.146 2.561 0.352
Tc P Au
1 1 1
Cartesian
0.000 0.000 0.000
-0.676 2.325 0.598
-1.352 4.649 1.196
```

Energy above the most stable polymorph in this dataset   0.059 eV/atom

---

(3)
The following is a GGA-PBE calculation of Tc3PAu after structural relaxation, from Alexandria.

```
Tc3PAu
1.0
-3.315 2.760 2.501
-1.772 -4.114 2.190
3.276 0.567 3.716
P Au Tc
1 1 3
Cartesian
-0.905 -0.393 4.204
0.000 0.000 0.000
-0.886 -2.057 1.095
1.638 0.283 1.858
-1.657 1.380 1.251
```

Energy above the most stable polymorph in this dataset   1.937 eV/atom

---

(4)
The following is a GGA-PBE calculation of TcPAu4 after structural relaxation, from Alexandria.

```
TcPAu4
1.0
4.781 -2.574 -0.633
1.798 -3.417 3.870
0.102 -5.384 -0.941
Tc P Au
1 1 4
Cartesian
0.000 0.000 0.000
1.670 -2.844 0.574
4.125 -4.417 1.906
3.276 -5.401 -0.501
4.176 -7.111 1.436
1.784 -5.823 1.752
```

Total DFT energy (no corrections)   -4.0872 eV per atom

---

(5)
The following is a GGA-PBE calculation of Tc3PAu after structural relaxation, from Alexandria.

```
Tc3PAu
1.0
-1.749 -0.659 3.949
-2.593 -3.096 -1.665
3.050 -3.010 0.849
P Au Tc
1 1 3
Cartesian
0.000 0.000 0.000
-0.646 -3.383 1.566
-1.297 -1.548 -0.832
1.525 -1.505 0.424
-0.874 -0.329 1.974
```

Energy above the most stable polymorph in this dataset   0.000 eV/atom

---

(6)
The following is a GGA-PBE calculation of TcP4Au after structural relaxation, from Alexandria.

```
TcP4Au
1.0
0.000 3.551 3.551
3.551 0.000 3.551
3.551 3.551 0.000
Tc P Au
1 4 1
Cartesian
5.326 5.326 5.326
2.669 4.433 4.433
4.433 4.433 2.669
4.433 2.669 4.433
2.669 2.669 2.669
0.000 0.000 0.000
```

Total DFT energy (no corrections)   -5.0651 eV per atom

---

What did the third record say?
The following is a GGA-PBE calculation of Tc3PAu after structural relaxation, from Alexandria.

```
Tc3PAu
1.0
-3.315 2.760 2.501
-1.772 -4.114 2.190
3.276 0.567 3.716
P Au Tc
1 1 3
Cartesian
-0.905 -0.393 4.204
0.000 0.000 0.000
-0.886 -2.057 1.095
1.638 0.283 1.858
-1.657 1.380 1.251
```

Energy above the most stable polymorph in this dataset   1.937 eV/atom